No. 1
Material: MgZn5Ni
Method: DFT, PBE-GGA
State: optimized geometry

```
data_MgZn5Ni
_cell_length_a 3.691
_cell_length_b 3.691
_cell_length_c 8.293
_cell_angle_alpha 90.00
_cell_angle_beta 90.00
_cell_angle_gamma 90.00
_space_group_name_H-M_alt 'P 4/m m m'
_space_group_IT_number 123
_space_group_name_Hall '-P 4 2'
loop_
_atom_site_label
_atom_site_fract_x
_atom_site_fract_y
_atom_site_fract_z
_atom_site_occupancy
Mg1 0.000 0.000 0.000 1
Zn1 0.000 0.000 0.500 1
Zn2 0.000 0.500 0.266 1
Ni1 0.500 0.500 0.500 1
```

- DOS at the Fermi energy: 0.603 states/eV/atom
- Formation energy: -0.2 eV per formula unit

No. 2
Material: PmSm3Dy7
Method: DFT, PBE-GGA
State: optimized geometry

```
data_PmSm3Dy7
_cell_length_a 5.839
_cell_length_b 11.173
_cell_length_c 11.257
_cell_angle_alpha 90.00
_cell_angle_beta 90.00
_cell_angle_gamma 90.00
_space_group_name_H-M_alt 'I m m m'
_space_group_IT_number 71
_space_group_name_Hall '-I 2 2'
loop_
_atom_site_label
_atom_site_fract_x
_atom_site_fract_y
_atom_site_fract_z
_atom_site_occupancy
Pm1 0.000 0.000 0.000 1
Sm1 0.000 0.000 0.500 1
Sm2 0.000 0.500 0.210 1
Dy1 0.000 0.208 0.305 1
Dy2 0.000 0.295 0.000 1
Dy3 0.000 0.500 0.500 1
```

- Energy above the most stable polymorph in this dataset: 71 meV per atom
- DOS at the Fermi energy: 1.514 states/eV/atom
- Formation energy: 2.8 eV per formula unit

No. 3
Material: KTaMn2
Method: DFT, PBE-GGA
State: optimized geometry

```
data_KTaMn2
_cell_length_a 7.392
_cell_length_b 7.418
_cell_length_c 2.865
_cell_angle_alpha 90.00
_cell_angle_beta 90.00
_cell_angle_gamma 90.00
_space_group_name_H-M_alt 'C m m m'
_space_group_IT_number 65
_space_group_name_Hall '-C 2 2'
loop_
_atom_site_label
_atom_site_fract_x
_atom_site_fract_y
_atom_site_fract_z
_atom_site_occupancy
K1 0.000 0.000 0.000 1
Ta1 0.000 0.500 0.000 1
Mn1 0.250 0.250 0.500 1
```

- Energy above the most stable polymorph in this dataset: 531 meV per atom
- DOS at the Fermi energy: 1.130 states/eV/atom
- Formation energy: 4.3 eV per formula unit